No. 1
A geometry-optimized EuEr2Ir structure, computed with PBE-GGA.

Lattice parameters (Å, degrees): 3.4813 3.4813 9.2406 90.00 90.00 90.00
With the nearest neighbours (Å) after each atom.
Atoms (fractional coordinates):
Ir 0.5000 0.5000 0.0000  8 Er 2.93
Eu 0.5000 0.5000 0.5000  4 Eu 3.48
Er 0.0000 0.0000 0.8279  4 Ir 2.93, 1 Er 3.18
Er 0.0000 0.0000 0.1721  4 Ir 2.93, 1 Er 3.18

Summary:
The calculation puts the energy above the most stable polymorph in this dataset at 0 meV/atom. As for the crystal system: tetragonal. The total moment is 7.74 μB per formula unit.

***

No. 2
A geometry-optimized Co2WAu structure, computed with PBE-GGA.

Lattice parameters (Å, degrees): 4.7662 4.7662 4.7662 134.70 134.65 66.03
With the nearest neighbours (Å) after each atom.
Atoms (fractional coordinates):
Au 0.2500 0.7500 0.5000  8 Co 2.60-2.71, 4 W 2.71
Co 0.0000 0.0000 0.0000  4 W 2.60, 4 Au 2.71, 4 Co 2.71
Co 0.7499 0.2499 0.5000  4 Au 2.60, 4 W 2.71-2.72, 4 Co 2.71
W 0.5001 0.5001 0.0000  8 Co 2.60-2.72, 4 Au 2.71

Summary:
The calculation puts the energy above the most stable polymorph in this dataset at 97 meV/atom. As for the crystal system: tetragonal. The total moment is 0.34 μB per formula unit.

***

No. 3
A geometry-optimized Nd4SiI2Br structure, computed with PBE-GGA.

Lattice parameters (Å, degrees): 4.2452 7.3149 8.3192 107.20 90.00 90.00
With the nearest neighbours (Å) after each atom.
Atoms (fractional coordinates):
Nd 0.0000 0.2834 0.7994  2 Si 2.87, 1 Br 3.02
Nd 0.5000 0.2559 0.2051  1 Si 2.81, 2 Br 3.01
Si 0.5000 0.5000 0.0000  6 Nd 2.81-2.87
Nd 0.5000 0.7441 0.7949  1 Si 2.81, 2 Br 3.01
I 0.0000 0.5000 0.5000  6 Nd 3.32-3.33
Br 0.0000 0.0000 0.0000  6 Nd 3.01-3.02
I 0.5000 0.0000 0.5000  6 Nd 3.46-3.50
Nd 0.0000 0.7166 0.2006  2 Si 2.87, 1 Br 3.02

Summary:
Its calculated total energy is -4.62 eV/atom. As for the crystal system: monoclinic. The total moment is 0.00 μB per formula unit.

***

Q: Among the records above, which one has the lowest total moment?
A: Nd4SiI2Br

***

What did the first record say?
A geometry-optimized EuEr2Ir structure, computed with PBE-GGA.

Lattice parameters (Å, degrees): 3.4813 3.4813 9.2406 90.00 90.00 90.00
With the nearest neighbours (Å) after each atom.
Atoms (fractional coordinates):
Ir 0.5000 0.5000 0.0000  8 Er 2.93
Eu 0.5000 0.5000 0.5000  4 Eu 3.48
Er 0.0000 0.0000 0.8279  4 Ir 2.93, 1 Er 3.18
Er 0.0000 0.0000 0.1721  4 Ir 2.93, 1 Er 3.18

Summary:
The calculation puts the energy above the most stable polymorph in this dataset at 0 meV/atom. As for the crystal system: tetragonal. The total moment is 7.74 μB per formula unit.

***

Q: Which value of total moment does entry 1 give?
A: 7.74 μB per formula unit

***

Copy entry 3 word for word.
A geometry-optimized Nd4SiI2Br structure, computed with PBE-GGA.

Lattice parameters (Å, degrees): 4.2452 7.3149 8.3192 107.20 90.00 90.00
With the nearest neighbours (Å) after each atom.
Atoms (fractional coordinates):
Nd 0.0000 0.2834 0.7994  2 Si 2.87, 1 Br 3.02
Nd 0.5000 0.2559 0.2051  1 Si 2.81, 2 Br 3.01
Si 0.5000 0.5000 0.0000  6 Nd 2.81-2.87
Nd 0.5000 0.7441 0.7949  1 Si 2.81, 2 Br 3.01
I 0.0000 0.5000 0.5000  6 Nd 3.32-3.33
Br 0.0000 0.0000 0.0000  6 Nd 3.01-3.02
I 0.5000 0.0000 0.5000  6 Nd 3.46-3.50
Nd 0.0000 0.7166 0.2006  2 Si 2.87, 1 Br 3.02

Summary:
Its calculated total energy is -4.62 eV/atom. As for the crystal system: monoclinic. The total moment is 0.00 μB per formula unit.